{"formula": "Sr3SiGe2", "functional": "PBE-GGA", "state": "relaxed", "lattice": [[4.3923, 0.0000, 0.0000], [0.0000, 12.8899, 0.0000], [0.0000, 0.0000, 12.5532]], "species": ["Sr", "Sr", "Sr", "Sr", "Sr", "Sr", "Sr", "Sr", "Sr", "Sr", "Sr", "Sr", "Si", "Si", "Si", "Si", "Ge", "Ge", "Ge", "Ge", "Ge", "Ge", "Ge", "Ge"], "frac_coords": [[0.2500, 0.3839, 0.0797], [0.7500, 0.6161, 0.9203], [0.7500, 0.8839, 0.4203], [0.2500, 0.1161, 0.5797], [0.2500, 0.7039, 0.1931], [0.7500, 0.2961, 0.8069], [0.7500, 0.2039, 0.3069], [0.2500, 0.7961, 0.6931], [0.2500, 0.4491, 0.3875], [0.7500, 0.5509, 0.6125], [0.7500, 0.9491, 0.1125], [0.2500, 0.0509, 0.8875], [0.2500, 0.1472, 0.1467], [0.7500, 0.8528, 0.8533], [0.7500, 0.6472, 0.3533], [0.2500, 0.3528, 0.6467], [0.2500, 0.6826, 0.4621], [0.7500, 0.3174, 0.5379], [0.7500, 0.1826, 0.0379], [0.2500, 0.8174, 0.9621], [0.2500, 0.0134, 0.2925], [0.7500, 0.9866, 0.7075], [0.7500, 0.5134, 0.2075], [0.2500, 0.4866, 0.7925]], "raw_formation_energy_mev_per_atom": -500, "total_energy_ev_per_atom": -3.78, "spacegroup": "Pnma (62)"}